[1]
This record from Alexandria via LeMat-Bulk describes a relaxed structure of Sr2Li2HoTl5. The functional is PBE.

Values from the calculation:
The value obtained for the formation energy is -3.2 eV/f.u. As for the magnetic moment: 0.000 Bohr magnetons per cell. The calculation puts the calculated volume at 27.4 Å³/atom. For the density, the calculation gives 8.35 g/cm3. The total energy is -53.6 eV per cell.

The structure in CIF format:
```
data_Sr2Li2HoTl5
_space_group_name_H-M_alt 'P 4/m b m'
_space_group_IT_number 127
_space_group_name_Hall '-P 4 2ab'
_cell_length_a 11.752
_cell_length_b 11.752
_cell_length_c 3.961
_cell_angle_alpha 90.00
_cell_angle_beta 90.00
_cell_angle_gamma 90.00
loop_
_atom_site_label
_atom_site_type_symbol
_atom_site_fract_x
_atom_site_fract_y
_atom_site_fract_z
Sr1 Sr 0.177 0.323 0.000
Li1 Li 0.122 0.622 0.000
Ho1 Ho 0.000 0.000 0.000
Tl1 Tl 0.000 0.500 0.500
Tl2 Tl 0.065 0.792 0.500
```

---

[2]
This record from Alexandria via LeMat-Bulk describes a relaxed structure of SrLiHoTl. The functional is PBE.

Values from the calculation:
The value obtained for the formation energy is -0.6 eV/f.u. As for the magnetic moment: 0.000 Bohr magnetons per cell. The calculation puts the calculated volume at 29.5 Å³/atom. For the density, the calculation gives 6.52 g/cm3. The total energy is -44.4 eV per cell.

The structure in CIF format:
```
data_SrLiHoTl
_space_group_name_H-M_alt 'F -4 3 m'
_space_group_IT_number 216
_space_group_name_Hall 'F -4 2 3'
_cell_length_a 7.788
_cell_length_b 7.788
_cell_length_c 7.788
_cell_angle_alpha 90.00
_cell_angle_beta 90.00
_cell_angle_gamma 90.00
loop_
_atom_site_label
_atom_site_type_symbol
_atom_site_fract_x
_atom_site_fract_y
_atom_site_fract_z
Sr1 Sr 0.000 0.000 0.000
Li1 Li 0.250 0.250 0.250
Ho1 Ho 0.000 0.000 0.500
Tl1 Tl 0.250 0.250 0.750
```

---

[3]
This record from Alexandria via LeMat-Bulk describes a relaxed structure of LiTbHo. The functional is PBE.

Values from the calculation:
The value obtained for the formation energy is 0.4 eV/f.u. The value obtained for the distance to the lowest polymorph of the same formula is 73.7 meV per atom. As for the magnetic moment: 0.000 Bohr magnetons per cell. The calculation puts the calculated volume at 28.5 Å³/atom. For the density, the calculation gives 6.43 g/cm3. The total energy is -43.0 eV per cell.

The structure in CIF format:
```
data_LiTbHo
_space_group_name_H-M_alt 'C 1 2/m 1'
_space_group_IT_number 12
_space_group_name_Hall '-C 2y'
_cell_length_a 9.438
_cell_length_b 5.465
_cell_length_c 6.628
_cell_angle_alpha 90.00
_cell_angle_beta 90.47
_cell_angle_gamma 90.00
loop_
_atom_site_label
_atom_site_type_symbol
_atom_site_fract_x
_atom_site_fract_y
_atom_site_fract_z
Li1 Li 0.167 0.000 0.000
Tb1 Tb 0.167 0.000 0.500
Ho1 Ho 0.002 0.500 0.743
```

---

[4]
This record from Alexandria via LeMat-Bulk describes a relaxed structure of LiTb2Ho. The functional is PBE.

Values from the calculation:
The value obtained for the formation energy is 0.7 eV/f.u. The value obtained for the distance to the lowest polymorph of the same formula is 103.0 meV per atom. As for the magnetic moment: 0.001 Bohr magnetons per cell. The calculation puts the calculated volume at 31.4 Å³/atom. For the density, the calculation gives 6.47 g/cm3. The total energy is -45.2 eV per cell.

The structure in CIF format:
```
data_LiTb2Ho
_space_group_name_H-M_alt 'R -3 m'
_space_group_IT_number 166
_space_group_name_Hall '-R 3 2"'
_cell_length_a 3.4568
_cell_length_b 3.4568
_cell_length_c 36.4304
_cell_angle_alpha 90.00
_cell_angle_beta 90.00
_cell_angle_gamma 120.00
loop_
_atom_site_label
_atom_site_type_symbol
_atom_site_fract_x
_atom_site_fract_y
_atom_site_fract_z
Li1 Li 0.0000 0.0000 0.0000
Tb1 Tb 0.0000 0.0000 0.0890
Ho1 Ho 0.0000 0.0000 0.5000
```

---

[5]
This record from Alexandria via LeMat-Bulk describes a relaxed structure of LiTbHo. The functional is PBE.

Values from the calculation:
The value obtained for the formation energy is 0.3 eV/f.u. The value obtained for the distance to the lowest polymorph of the same formula is 41.4 meV per atom. As for the magnetic moment: 0.133 Bohr magnetons per cell. The calculation puts the calculated volume at 27.6 Å³/atom. For the density, the calculation gives 6.64 g/cm3. The total energy is -21.7 eV per cell.

The structure in CIF format:
```
data_LiTbHo
_space_group_name_H-M_alt 'I 4 m m'
_space_group_IT_number 107
_space_group_name_Hall 'I 4 -2'
_cell_length_a 3.626
_cell_length_b 3.626
_cell_length_c 12.590
_cell_angle_alpha 90.00
_cell_angle_beta 90.00
_cell_angle_gamma 90.00
loop_
_atom_site_label
_atom_site_type_symbol
_atom_site_fract_x
_atom_site_fract_y
_atom_site_fract_z
Li1 Li 0.000 0.000 0.000
Tb1 Tb 0.000 0.000 0.344
Ho1 Ho 0.000 0.000 0.653
```

---

[6]
This record from Alexandria via LeMat-Bulk describes a relaxed structure of LiTb2Ho. The functional is PBE.

Values from the calculation:
The value obtained for the formation energy is 0.7 eV/f.u. The value obtained for the distance to the lowest polymorph of the same formula is 102.8 meV per atom. As for the magnetic moment: 0.000 Bohr magnetons per cell. The calculation puts the calculated volume at 29.0 Å³/atom. For the density, the calculation gives 7.01 g/cm3. The total energy is -60.2 eV per cell.

The structure in CIF format:
```
data_LiTb2Ho
_space_group_name_H-M_alt 'F m -3 m'
_space_group_IT_number 225
_space_group_name_Hall '-F 4 2 3'
_cell_length_a 7.742
_cell_length_b 7.742
_cell_length_c 7.742
_cell_angle_alpha 90.00
_cell_angle_beta 90.00
_cell_angle_gamma 90.00
loop_
_atom_site_label
_atom_site_type_symbol
_atom_site_fract_x
_atom_site_fract_y
_atom_site_fract_z
Li1 Li 0.000 0.000 0.000
Tb1 Tb 0.250 0.250 0.250
Ho1 Ho 0.000 0.000 0.500
```

---

[7]
This record from Alexandria via LeMat-Bulk describes a relaxed structure of LiTb2Ho. The functional is PBE.

Values from the calculation:
The value obtained for the formation energy is 0.3 eV/f.u. The value obtained for the distance to the lowest polymorph of the same formula is 0.0 meV per atom. As for the magnetic moment: 0.000 Bohr magnetons per cell. The calculation puts the calculated volume at 28.7 Å³/atom. For the density, the calculation gives 7.09 g/cm3. The total energy is -15.5 eV per cell.

The structure in CIF format:
```
data_LiTb2Ho
_space_group_name_H-M_alt 'P 4/m m m'
_space_group_IT_number 123
_space_group_name_Hall '-P 4 2'
_cell_length_a 3.600
_cell_length_b 3.600
_cell_length_c 8.851
_cell_angle_alpha 90.00
_cell_angle_beta 90.00
_cell_angle_gamma 90.00
loop_
_atom_site_label
_atom_site_type_symbol
_atom_site_fract_x
_atom_site_fract_y
_atom_site_fract_z
Li1 Li 0.000 0.000 0.000
Tb1 Tb 0.500 0.500 0.226
Ho1 Ho 0.000 0.000 0.500
```

---

[8]
This record from Alexandria via LeMat-Bulk describes a relaxed structure of LiTbHo. The functional is PBE.

Values from the calculation:
The value obtained for the formation energy is 0.2 eV/f.u. The value obtained for the distance to the lowest polymorph of the same formula is 0.0 meV per atom. As for the magnetic moment: 0.000 Bohr magnetons per cell. The calculation puts the calculated volume at 27.5 Å³/atom. For the density, the calculation gives 6.66 g/cm3. The total energy is -21.9 eV per cell.

The structure in CIF format:
```
data_LiTbHo
_space_group_name_H-M_alt 'P 4/n m m'
_space_group_IT_number 129
_cell_length_a 3.587
_cell_length_b 3.587
_cell_length_c 12.827
_cell_angle_alpha 90.00
_cell_angle_beta 90.00
_cell_angle_gamma 90.00
loop_
_space_group_symop_operation_xyz
'x,y,z'
'-x,-y,-z'
'-y+1/2,x,z'
'y+1/2,-x,-z'
'-x+1/2,-y+1/2,z'
'x+1/2,y+1/2,-z'
'y,-x+1/2,z'
'-y,x+1/2,-z'
'x+1/2,-y,-z'
'-x+1/2,y,z'
'-y,-x,-z'
'y,x,z'
'-x,y+1/2,-z'
'x,-y+1/2,z'
'y+1/2,x+1/2,-z'
'-y+1/2,-x+1/2,z'
loop_
_atom_site_label
_atom_site_type_symbol
_atom_site_fract_x
_atom_site_fract_y
_atom_site_fract_z
Li1 Li 0.250 0.250 0.051
Tb1 Tb 0.250 0.250 0.782
Ho1 Ho 0.250 0.250 0.403
```